# MnNbReO2, relaxed, DFT PBE+U
data_MnNbReO2
_space_group_name_H-M_alt 'P 4/m m m'
_space_group_IT_number 123
_space_group_name_Hall '-P 4 2'
_cell_length_a 3.7771
_cell_length_b 3.7771
_cell_length_c 5.8537
_cell_angle_alpha 90.00
_cell_angle_beta 90.00
_cell_angle_gamma 90.00
loop_
_atom_site_label
_atom_site_type_symbol
_atom_site_fract_x
_atom_site_fract_y
_atom_site_fract_z
_atom_site_occupancy
Mn1 Mn 0.0000 0.0000 0.0000 1
Nb1 Nb 0.5000 0.5000 0.5000 1
Re1 Re 0.5000 0.5000 0.0000 1
O1 O 0.0000 0.5000 0.5000 1
# Raw total energy = -7.55 eV/atom
# Total magnetization = 1.2 Bohr magnetons per cell